The following is a PBE calculation of crystalline Nd5Tm2Pb4 at its relaxed geometry, from Alexandria.

DFT total energy: -48.91 eV for the cell shown
energy of formation from the pure elements: -0.12 eV per atom
volume: 33.818 Å³ per atom
symmetry: C2/m, No. 12

The structure in POSCAR format:
```
Nd5Tm2Pb4
1.0
3.5735 0.0000 0.0000
0.0000 7.5729 0.5252
-1.7867 -1.5858 13.6363
Nd Tm Pb
5 2 4
Cartesian
0.0000 5.9536 4.2604 Nd
1.7867 0.0335 9.9010 Nd
0.0000 0.8959 6.5740 Nd
1.7867 0.0000 0.0000 Nd
1.7867 5.0912 7.5875 Nd
1.7867 3.9834 11.6597 Tm
0.0000 2.0037 2.5017 Tm
1.7867 3.1958 4.9098 Pb
0.0000 4.9247 1.2447 Pb
0.0000 2.7913 9.2517 Pb
1.7867 1.0624 12.9168 Pb
```

The following is a PBE calculation of crystalline Nd3Tm4Pb4 at its relaxed geometry, from Alexandria.

DFT total energy: -50.58 eV for the cell shown
energy of formation from the pure elements: -0.32 eV per atom
volume: 31.436 Å³ per atom
symmetry: Amm2, No. 38

The structure in POSCAR format:
```
Nd3Tm4Pb4
1.0
-1.3935 -4.0458 -2.4104
5.8785 -1.0567 3.3786
-5.6621 -3.3037 8.8184
Nd Tm Pb
3 4 4
Cartesian
2.0660 -3.4205 4.5468 Nd
0.1273 -4.5517 7.5664 Nd
2.8317 -1.6829 1.1877 Nd
-1.7441 -4.7348 3.9521 Tm
0.0210 -2.4495 -0.9041 Tm
-3.3705 -2.9962 6.9775 Tm
-0.5432 -1.3466 2.5742 Tm
-2.7712 -6.0002 6.6697 Pb
0.4141 -4.1417 1.7089 Pb
1.3056 -6.5472 5.2313 Pb
3.8369 -4.7173 0.6963 Pb
```

The following is a PBE calculation of crystalline Nd3Tm2Pb4 at its relaxed geometry, from Alexandria.

DFT total energy: -41.87 eV for the cell shown
energy above the lowest structure with this stoichiometry: 36 meV/atom
energy of formation from the pure elements: -0.42 eV per atom
volume: 31.710 Å³ per atom
symmetry: C2/m, No. 12

The structure in POSCAR format:
```
Nd3Tm2Pb4
1.0
-2.5455 -1.6481 3.5485
-3.2441 -1.8707 -6.2661
7.8321 -5.6179 3.0092
Nd Tm Pb
3 2 4
Cartesian
3.0276 -5.4320 2.7190 Nd
0.0000 0.0000 0.0000 Nd
-0.9851 -3.7047 -2.4274 Nd
-0.1596 -3.7304 1.2229 Tm
2.2021 -5.4064 -0.9313 Tm
-2.5814 -2.1939 0.1992 Pb
4.6239 -6.9428 0.0924 Pb
-0.5403 -6.4943 -0.3339 Pb
2.5828 -2.6424 0.6255 Pb
```

The following is a PBE calculation of crystalline Nd3Tm2Pb2 at its relaxed geometry, from Alexandria.

DFT total energy: -31.85 eV for the cell shown
energy of formation from the pure elements: -0.17 eV per atom
volume: 32.155 Å³ per atom
symmetry: C2/m, No. 12

The structure in POSCAR format:
```
Nd3Tm2Pb2
1.0
-0.0212 -2.4295 2.5935
6.1084 -3.6906 -3.4073
2.2261 7.4433 4.5559
Nd Tm Pb
3 2 2
Cartesian
3.0542 -1.8453 -1.7036 Nd
5.2098 0.2257 0.2539 Nd
3.1035 1.0976 3.4883 Nd
6.7129 0.9602 3.3890 Tm
1.6004 0.3631 0.3532 Tm
5.8561 -3.1538 -0.4718 Pb
2.4572 4.4771 4.2140 Pb
```

The following is a PBE calculation of crystalline NdTm3Pb at its relaxed geometry, from Alexandria.

DFT total energy: -90.62 eV for the cell shown
energy of formation from the pure elements: -0.15 eV per atom
volume: 30.559 Å³ per atom
symmetry: P2_1/c, No. 14

The structure in POSCAR format:
```
NdTm3Pb
1.0
-3.4076 0.5564 -8.4942
-2.6239 -7.4676 0.5635
-5.3431 8.3270 2.6889
Nd Tm Pb
4 12 4
Cartesian
-6.7725 -2.1063 -6.5251 Nd
-4.6022 3.5221 1.2833 Nd
-3.0879 -0.4525 -2.9460 Nd
-8.2867 1.8683 -2.2958 Nd
-2.0324 1.5488 -0.2421 Tm
-9.3422 -0.1330 -4.9997 Tm
-5.7648 -4.4444 -4.0862 Tm
-5.6098 5.8602 -1.1556 Tm
-6.3600 -0.9592 -3.2334 Tm
-5.0147 2.3750 -2.0084 Tm
-1.1717 -1.9798 -0.4328 Tm
-10.2030 3.3956 -4.8090 Tm
-4.9051 -0.1056 0.2093 Tm
-6.4696 1.5214 -5.4511 Tm
-8.6434 5.6036 -2.8659 Tm
-2.7312 -4.1878 -2.3759 Tm
-5.2649 -2.9984 -0.9359 Pb
-6.1098 4.4142 -4.3059 Pb
-3.6979 0.2931 -6.2978 Pb
-7.6767 1.1227 1.0560 Pb
```

The following is a PBE calculation of crystalline Nd3Tm2Pb4 at its relaxed geometry, from Alexandria.

DFT total energy: -42.19 eV for the cell shown
energy above the lowest structure with this stoichiometry: 0 meV/atom
energy of formation from the pure elements: -0.46 eV per atom
volume: 31.199 Å³ per atom
symmetry: C2/m, No. 12

The structure in POSCAR format:
```
Nd3Tm2Pb4
1.0
4.9260 0.0000 -1.3769
-0.5035 6.6819 -1.8012
-0.2525 0.0156 8.5967
Nd Tm Pb
3 2 4
Cartesian
0.2376 3.8974 0.8499 Nd
3.9325 2.8001 4.5686 Nd
0.0000 0.0000 0.0000 Nd
3.1640 0.4803 1.8192 Tm
1.0061 6.2172 3.5994 Tm
1.8187 4.7973 6.5063 Pb
0.9267 1.8416 3.3153 Pb
2.3514 1.9002 -1.0877 Pb
3.2434 4.8560 2.1033 Pb
```

The following is a PBE calculation of crystalline Nd4Tm5Pb2 at its relaxed geometry, from Alexandria.

DFT total energy: -46.81 eV for the cell shown
energy of formation from the pure elements: 0.18 eV per atom
volume: 34.546 Å³ per atom
symmetry: R-3m, No. 166

The structure in POSCAR format:
```
Nd4Tm5Pb2
1.0
5.2893 0.0000 0.0000
2.6446 4.5807 0.0000
2.6446 1.5269 15.6843
Nd Tm Pb
4 5 2
Cartesian
7.9340 4.5807 12.9950 Nd
5.2893 3.0538 4.4467 Nd
5.2893 3.0538 11.2377 Nd
2.6446 1.5269 2.6894 Nd
7.9339 4.5807 9.2860 Tm
5.2893 3.0538 0.8640 Tm
5.2893 3.0538 7.8422 Tm
5.2893 3.0538 14.8204 Tm
2.6447 1.5269 6.3984 Tm
2.6446 1.5269 9.7875 Pb
7.9340 4.5807 5.8969 Pb
```

The following is a PBE calculation of crystalline Nd5TmPb6 at its relaxed geometry, from Alexandria.

DFT total energy: -56.30 eV for the cell shown
energy above the lowest structure with this stoichiometry: 10 meV/atom
energy of formation from the pure elements: -0.48 eV per atom
volume: 31.400 Å³ per atom
symmetry: C2/m, No. 12

The structure in POSCAR format:
```
Nd5TmPb6
1.0
-2.9465 -6.8395 -5.9142
3.7463 -4.6198 -0.6992
-1.3513 -5.7742 5.2632
Nd Tm Pb
5 1 6
Cartesian
-1.7167 -8.0037 0.3776 Nd
0.8341 -3.4262 1.4590 Nd
0.3999 -5.7297 -3.3067 Nd
1.5608 -6.9678 3.1050 Nd
1.1651 -9.2299 -1.7278 Nd
0.0000 0.0000 0.0000 Tm
-2.3952 -7.4136 -2.8058 Pb
1.0823 -6.3155 -0.1302 Pb
0.0621 -2.7471 -1.6599 Pb
0.7377 -8.7123 -4.9535 Pb
-1.6339 -10.9181 -1.2200 Pb
1.8437 -9.8199 1.4556 Pb
```

The following is a PBE calculation of crystalline NdTm3Pb4 at its relaxed geometry, from Alexandria.

DFT total energy: -72.57 eV for the cell shown
energy of formation from the pure elements: -0.41 eV per atom
volume: 28.669 Å³ per atom
symmetry: Pmna, No. 53

The structure in POSCAR format:
```
NdTm3Pb4
1.0
-2.6937 -4.9842 3.0072
1.1074 -3.6932 -5.1292
9.9299 -2.8396 4.1884
Pb Tm Nd
8 6 2
Cartesian
0.8973 -2.9928 -4.1564 Pb
-1.0025 -3.6376 -0.0894 Pb
5.4977 -6.0877 5.0820 Pb
7.3919 -5.4518 1.0193 Pb
4.5150 -6.9061 -0.5585 Pb
2.6149 -7.5501 3.5096 Pb
2.4280 -4.0323 -1.0745 Pb
0.5317 -4.6676 2.9873 Pb
-2.3496 -6.1293 1.4150 Tm
6.8486 -3.5852 3.5726 Tm
6.0407 -7.9535 2.5297 Tm
5.8618 -4.4134 -2.0615 Tm
1.0747 -6.5334 0.4350 Tm
1.8847 -2.1657 1.4788 Tm
-0.4492 -5.4852 -2.6537 Nd
3.9618 -5.0588 2.0054 Nd
```

The following is a PBE calculation of crystalline NdTm7Pb2 at its relaxed geometry, from Alexandria.

DFT total energy: -40.66 eV for the cell shown
energy of formation from the pure elements: 0.28 eV per atom
volume: 37.942 Å³ per atom
symmetry: Cmmm, No. 65

The structure in POSCAR format:
```
NdTm7Pb2
1.0
5.3872 0.0000 0.0000
0.0000 8.9776 -0.1814
0.0000 -4.2122 7.9302
Nd Tm Pb
1 7 2
Cartesian
0.0000 0.0000 0.0000 Nd
0.0000 6.0216 1.6364 Tm
0.0000 -1.2562 6.1123 Tm
2.6936 -0.7443 2.3931 Tm
2.6936 5.5097 5.3556 Tm
2.6936 2.4715 0.4154 Tm
2.6936 2.2939 7.3333 Tm
2.6936 2.3827 3.8744 Tm
2.6936 4.9375 2.3032 Pb
2.6936 -0.1721 5.4456 Pb
```

The following is a PBE calculation of crystalline Nd2Tm2Pb at its relaxed geometry, from Alexandria.

DFT total energy: -91.79 eV for the cell shown
energy of formation from the pure elements: -0.15 eV per atom
volume: 32.552 Å³ per atom
symmetry: P2_1/c, No. 14

The structure in POSCAR format:
```
Nd2Tm2Pb
1.0
8.7649 0.0000 -0.7419
0.0000 6.4031 0.0000
-1.9902 0.0000 11.7689
Nd Tm Pb
8 8 4
Cartesian
4.7091 2.5691 1.2666 Nd
0.3267 0.6324 1.6376 Nd
6.4479 5.7707 9.3894 Nd
2.0655 3.8340 9.7603 Nd
7.8957 3.8080 2.5365 Nd
3.5133 5.7966 2.9074 Nd
3.2614 0.6065 8.1195 Nd
-1.1211 2.5951 8.4905 Nd
5.9103 5.8536 0.0421 Tm
1.5279 3.7510 0.4130 Tm
5.2468 2.6520 10.6140 Tm
0.8643 0.5495 10.9849 Tm
4.9104 2.1019 5.0457 Tm
0.5280 1.0997 5.4167 Tm
6.2467 5.3034 5.6103 Tm
1.8642 4.3012 5.9812 Tm
2.2764 2.6625 3.3809 Pb
4.4983 3.7405 7.6461 Pb
6.6588 0.5390 3.0099 Pb
0.1159 5.8641 8.0171 Pb
```

The following is a PBE calculation of crystalline Nd4TmPb4 at its relaxed geometry, from Alexandria.

DFT total energy: -82.47 eV for the cell shown
energy of formation from the pure elements: -0.32 eV per atom
volume: 33.479 Å³ per atom
symmetry: P4_2/n, No. 86

The structure in POSCAR format:
```
Nd4TmPb4
1.0
-1.8492 6.2832 -0.4645
-6.4366 -2.3882 -6.6816
-6.5626 -1.4264 6.8318
Nd Tm Pb
8 2 8
Cartesian
-8.5012 0.3274 4.2795 Nd
-10.4197 2.9537 1.0340 Nd
-5.8524 0.4602 -4.4695 Nd
-5.4856 -0.5195 2.3952 Nd
-11.8529 0.7492 -1.5053 Nd
-8.0083 -1.6141 -2.3692 Nd
-5.7831 4.1171 -1.6884 Nd
-3.4902 3.4005 1.0668 Nd
0.0000 0.0000 0.0000 Tm
-7.4242 1.2343 -0.1571 Tm
-8.8350 1.6093 -2.7097 Pb
-6.5410 2.6521 2.2630 Pb
-10.8469 -2.2991 -1.1604 Pb
-9.2950 3.4391 3.9473 Pb
-6.8749 3.5200 -4.5935 Pb
-4.7443 0.9570 -1.3353 Pb
-9.5765 -0.2811 1.1536 Pb
-2.6799 0.2773 1.1782 Pb
```

The following is a PBE calculation of crystalline NdTmPb2 at its relaxed geometry, from Alexandria.

DFT total energy: -17.96 eV for the cell shown
energy of formation from the pure elements: -0.33 eV per atom
volume: 33.623 Å³ per atom
symmetry: R3m, No. 160

The structure in POSCAR format:
```
NdTmPb2
1.0
4.7841 0.0000 0.0000
2.3921 4.1432 0.0000
2.3921 1.3811 6.7851
Nd Tm Pb
1 1 2
Cartesian
7.1762 4.1432 6.6909 Nd
4.7841 2.7621 3.5108 Tm
2.3921 1.3811 4.9827 Pb
2.3921 1.3811 1.7785 Pb
```

The following is a PBE calculation of crystalline Nd5TmPb6 at its relaxed geometry, from Alexandria.

DFT total energy: -56.43 eV for the cell shown
energy above the lowest structure with this stoichiometry: 0 meV/atom
energy of formation from the pure elements: -0.49 eV per atom
volume: 29.732 Å³ per atom
symmetry: Immm, No. 71

The structure in POSCAR format:
```
Nd5TmPb6
1.0
4.8123 0.4641 -1.4501
-1.9279 8.1547 -3.7897
0.2246 -0.8268 9.2659
Pb Tm Nd
6 1 5
Cartesian
0.0711 3.1759 1.2515 Pb
-0.8988 7.2775 -0.6545 Pb
1.9302 2.2472 -1.6617 Pb
0.9542 6.3715 -3.5781 Pb
4.0078 0.5145 4.6807 Pb
3.0379 4.6161 2.7746 Pb
0.0000 0.0000 0.0000 Tm
0.1593 6.4242 2.5838 Nd
1.9985 5.4718 -0.4017 Nd
-0.9639 4.0773 -1.8948 Nd
1.1105 2.3202 4.4278 Nd
2.9497 1.3678 1.4423 Nd
```

The following is a PBE calculation of crystalline Nd3TmPb at its relaxed geometry, from Alexandria.

DFT total energy: -46.70 eV for the cell shown
energy of formation from the pure elements: -0.17 eV per atom
volume: 31.955 Å³ per atom
symmetry: P-1, No. 2

The structure in POSCAR format:
```
Nd3TmPb
1.0
0.0415 -0.3993 -3.5840
3.9966 -7.5703 0.8929
-10.2387 -2.3154 3.7811
Nd Tm Pb
6 2 2
Cartesian
-4.1032 -2.3967 1.1295 Nd
1.0162 -2.9592 -2.3762 Nd
-1.5229 -0.8255 -0.8307 Nd
-2.0974 -7.8883 -0.0395 Nd
-4.6777 -9.4595 1.9207 Nd
-7.2168 -7.3258 3.4662 Nd
-4.5274 -5.8348 1.5174 Tm
-1.6732 -4.4501 -0.4274 Tm
-6.6125 -3.7598 3.0737 Pb
0.4119 -6.5252 -1.9838 Pb
```

The following is a PBE calculation of crystalline NdTmPb2 at its relaxed geometry, from Alexandria.

DFT total energy: -73.96 eV for the cell shown
energy of formation from the pure elements: -0.46 eV per atom
volume: 30.205 Å³ per atom
symmetry: P2/c, No. 13

The structure in POSCAR format:
```
NdTmPb2
1.0
-6.3364 -0.7880 0.5960
-0.3959 -1.5173 -6.2142
1.4742 -12.0429 -0.2484
Nd Tm Pb
4 4 8
Cartesian
-4.9212 -9.5308 -4.6817 Nd
-0.3369 -4.8173 -1.1849 Nd
-4.3264 -11.4265 -0.8645 Nd
-0.9317 -2.9216 -5.0021 Nd
-3.6996 -6.0309 -3.9424 Tm
-1.5585 -8.3173 -1.9241 Tm
-3.9229 -2.4982 -1.6469 Tm
-1.3352 -11.8499 -4.2197 Tm
-1.1160 -11.3300 -1.0551 Pb
-4.1420 -3.0182 -4.8114 Pb
-1.8048 -8.8406 -5.0862 Pb
-3.4533 -5.5075 -0.7804 Pb
-0.8253 -1.7503 -1.9936 Pb
-4.4328 -12.5978 -3.8729 Pb
-0.5037 -5.9961 -4.1876 Pb
-4.7544 -8.3520 -1.6789 Pb
```

The following is a PBE calculation of crystalline NdTm5Pb5 at its relaxed geometry, from Alexandria.

DFT total energy: -48.14 eV for the cell shown
energy of formation from the pure elements: -0.22 eV per atom
volume: 31.871 Å³ per atom
symmetry: C2/m, No. 12

The structure in POSCAR format:
```
NdTm5Pb5
1.0
6.2591 0.0000 0.0000
-3.1296 7.7426 0.6055
0.0000 -2.1876 7.0631
Nd Tm Pb
1 5 5
Cartesian
0.0000 0.0000 0.0000 Nd
3.1296 1.5907 2.6130 Tm
3.1296 0.7503 6.1678 Tm
0.0000 -1.0938 3.5315 Tm
0.0000 4.8047 1.5008 Tm
0.0000 3.9643 5.0556 Tm
3.1296 4.6656 1.7409 Pb
3.1296 3.6753 5.0151 Pb
3.1296 0.0000 0.0000 Pb
0.0000 1.8797 2.6535 Pb
0.0000 0.8894 5.9277 Pb
```

The following is a PBE calculation of crystalline NdTm2Pb4 at its relaxed geometry, from Alexandria.

DFT total energy: -31.00 eV for the cell shown
energy of formation from the pure elements: -0.35 eV per atom
volume: 31.001 Å³ per atom
symmetry: C2/m, No. 12

The structure in POSCAR format:
```
NdTm2Pb4
1.0
-2.0209 -4.3891 -0.5526
0.0830 -0.6449 4.8185
-7.3765 6.2770 -1.4769
Nd Tm Pb
1 2 4
Cartesian
0.0000 0.0000 0.0000 Nd
-5.2397 -0.5930 2.4700 Tm
-4.0747 1.8360 0.3190 Tm
-7.2588 0.6204 0.2164 Pb
-2.0556 0.6226 2.5726 Pb
-3.1083 -1.2499 -0.1068 Pb
-6.2061 2.4930 2.8959 Pb
```

The following is a PBE calculation of crystalline Nd4TmPb5 at its relaxed geometry, from Alexandria.

DFT total energy: -46.94 eV for the cell shown
energy of formation from the pure elements: -0.49 eV per atom
volume: 29.584 Å³ per atom
symmetry: P4/mmm, No. 123

The structure in POSCAR format:
```
Nd4TmPb5
1.0
-3.4957 -0.1089 0.7918
0.3983 -3.3171 1.3026
4.4454 8.7115 20.8240
Nd Tm Pb
4 1 5
Cartesian
0.8730 1.7108 4.0895 Nd
1.7719 3.4724 8.3004 Nd
2.6735 5.2391 12.5236 Nd
3.5724 7.0007 16.7345 Nd
0.0000 0.0000 0.0000 Tm
-1.1314 -0.8953 3.0019 Pb
-0.2268 0.8774 7.2394 Pb
0.6740 2.6427 11.4592 Pb
1.5748 4.4080 15.6790 Pb
2.4794 6.1807 19.9165 Pb
```

The following is a PBE calculation of crystalline NdTm3Pb3 at its relaxed geometry, from Alexandria.

DFT total energy: -131.13 eV for the cell shown
energy above the lowest structure with this stoichiometry: 0 meV/atom
energy of formation from the pure elements: -0.50 eV per atom
volume: 29.661 Å³ per atom
symmetry: P2_13, No. 198

The structure in POSCAR format:
```
NdTm3Pb3
1.0
-5.4127 2.4196 -7.2941
-5.2714 -7.6609 1.3704
-5.5920 4.8796 5.7684
Nd Tm Pb
4 12 12
Cartesian
-8.5643 0.3802 5.6807 Nd
-8.5690 4.5157 -3.4559 Nd
-7.0622 -0.1569 -0.0674 Nd
-8.3567 -5.4622 -2.4681 Nd
-7.1297 0.4152 -4.4994 Tm
-15.0280 -0.3339 -0.1434 Tm
-9.8154 -1.6561 -3.2049 Tm
-7.0840 -4.2828 1.6506 Tm
-2.9213 -0.0649 -0.0279 Tm
-9.8598 -2.1948 2.7061 Tm
-5.8714 -0.2434 3.3473 Tm
-7.2640 3.3903 2.6438 Tm
-9.9558 3.1925 0.2161 Tm
-11.0746 -0.2461 -0.1057 Tm
-5.8928 2.8735 -1.6594 Tm
-5.7600 -3.0195 -1.8551 Tm
-7.2944 -2.9639 -4.5462 Pb
-11.3670 -4.3507 -3.6477 Pb
-7.3888 -2.6404 4.5929 Pb
-4.7364 -2.2632 1.2902 Pb
-4.8327 2.1287 1.1549 Pb
-11.5199 -1.2718 5.2074 Pb
-11.5884 4.8565 -1.8887 Pb
-8.9340 0.7796 2.3054 Pb
-4.7457 -0.1835 -2.5817 Pb
-7.5148 5.1110 -0.2585 Pb
-8.9052 1.3837 -2.1268 Pb
-8.8294 -2.7559 -0.4331 Pb
```